No. 1
! GGA-PBE Mo3PdBr, optimized geometry; values from VASP
&SYSTEM
  ibrav = 0, nat = 5, ntyp = 3
/
ATOMIC_SPECIES
Mo 95.94 Mo.upf
Br 79.90 Br.upf
Pd 106.42 Pd.upf
CELL_PARAMETERS angstrom
4.573 0.000 0.000
0.000 4.573 0.000
0.000 0.000 4.573
ATOMIC_POSITIONS crystal
Mo 0.000 0.500 0.000
Mo 0.000 0.000 0.500
Mo 0.500 0.000 0.000
Br 0.000 0.000 0.000
Pd 0.500 0.500 0.500
! DFT total energy: -6.2604 eV per atom
! polymorph energy (0 for the lowest one): 0 meV per atom
! E_form (uncorrected): 1.6114 eV/atom

---

No. 2
! GGA-PBE Ti2Al5Co2Pd, optimized geometry; values from VASP
&SYSTEM
  ibrav = 0, nat = 20, ntyp = 4
/
ATOMIC_SPECIES
Ti 47.87 Ti.upf
Al 26.98 Al.upf
Co 58.93 Co.upf
Pd 106.42 Pd.upf
CELL_PARAMETERS angstrom
-3.796 -0.237 0.833
1.917 -2.728 7.960
0.100 8.171 2.776
ATOMIC_POSITIONS crystal
Ti 0.000 0.674 0.174
Ti 0.000 0.326 0.826
Ti 0.000 0.174 0.326
Ti 0.000 0.826 0.674
Al 0.500 0.207 0.073
Al 0.500 0.793 0.927
Al 0.500 0.073 0.793
Al 0.500 0.707 0.427
Al 0.500 0.927 0.207
Al 0.500 0.293 0.573
Al 0.500 0.573 0.707
Al 0.500 0.427 0.293
Al 0.500 0.500 0.000
Al 0.500 0.000 0.500
Co 0.000 0.117 0.617
Co 0.000 0.883 0.383
Co 0.000 0.617 0.883
Co 0.000 0.383 0.117
Pd 0.000 0.000 0.000
Pd 0.000 0.500 0.500
! DFT total energy: -5.9195 eV per atom
! energy relative to the elements: -5.29 eV/f.u.

---

No. 3
! GGA-PBE NbCu23Pd6, optimized geometry; values from VASP
&SYSTEM
  ibrav = 0, nat = 30, ntyp = 3
/
ATOMIC_SPECIES
Nb 92.91 Nb.upf
Cu 63.55 Cu.upf
Pd 106.42 Pd.upf
CELL_PARAMETERS angstrom
7.137 0.000 4.121
2.379 6.729 4.121
0.000 0.000 8.241
ATOMIC_POSITIONS crystal
Nb 0.500 0.500 0.500
Cu 0.613 0.129 0.129
Cu 0.387 0.871 0.871
Cu 0.129 0.129 0.613
Cu 0.129 0.129 0.129
Cu 0.871 0.871 0.387
Cu 0.871 0.871 0.871
Cu 0.129 0.613 0.129
Cu 0.871 0.387 0.871
Cu 0.500 0.500 0.000
Cu 0.000 0.000 0.500
Cu 0.500 0.000 0.000
Cu 0.000 0.500 0.500
Cu 0.500 0.000 0.500
Cu 0.000 0.500 0.000
Cu 0.933 0.356 0.356
Cu 0.067 0.644 0.644
Cu 0.356 0.356 0.933
Cu 0.356 0.356 0.356
Cu 0.644 0.644 0.067
Cu 0.644 0.644 0.644
Cu 0.356 0.933 0.356
Cu 0.644 0.067 0.644
Cu 0.000 0.000 0.000
Pd 0.740 0.740 0.260
Pd 0.260 0.260 0.740
Pd 0.740 0.260 0.260
Pd 0.260 0.740 0.740
Pd 0.740 0.260 0.740
Pd 0.260 0.740 0.260
! DFT total energy: -4.5210 eV per atom
! energy relative to the elements: -0.19 eV/f.u.

---

No. 4
! GGA-PBE LaZnSn, optimized geometry; values from VASP
&SYSTEM
  ibrav = 0, nat = 3, ntyp = 3
/
ATOMIC_SPECIES
Zn 65.41 Zn.upf
Sn 118.71 Sn.upf
La 138.91 La.upf
CELL_PARAMETERS angstrom
-3.533 0.194 -2.707
2.284 -2.353 -3.149
-2.499 -2.188 3.104
ATOMIC_POSITIONS crystal
Zn 0.144 0.000 0.000
Sn 0.182 0.333 0.667
La 0.674 0.667 0.333
! DFT total energy: -4.0273 eV per atom
! energy relative to the elements: -1.88 eV/f.u.